Record 1
LiSmNiRh: relaxed, GGA-PBE.

Computed properties:
Energy   -20.743 eV/f.u.
Energy of formation from the pure elements   -244.3 meV/atom
Magnetization   0.00 μB/f.u.

Cell: 6.489 6.489 6.489 Å, 90.00 90.00 90.00°
Space group F-43m (No. 216)
Unique sites:
Li 0.000 0.000 0.000 x4
Sm 0.000 0.000 0.500 x4
Ni 0.250 0.250 0.250 x4
Rh 0.250 0.250 0.750 x4


Record 2
Li3Tb2Ni12Rh: relaxed, GGA-PBE.

Computed properties:
Energy   -90.696 eV/f.u.
Energy of formation from the pure elements   57.4 meV/atom
Magnetization   3.40 μB/f.u.

Cell: 5.0281 5.0281 35.2145 Å, 90.00 90.00 120.00°
Space group R-3m (No. 166, hexagonal axes)
Unique sites:
Li 0.0000 0.5000 0.0000 x9
Tb 0.0000 0.0000 0.1422 x6
Ni 0.0041 0.5020 0.1077 x18
Ni 0.0170 0.5085 0.6111 x18
Rh 0.0000 0.0000 0.5000 x3


- Which formula does entry 1 have?
  LiSmNiRh


- Number 2 is which compound?
  Li3Tb2Ni12Rh


- Look up the magnetization of the second one.
  3.40 μB/f.u.


- magnetization of number 1 (LiSmNiRh)?
  0.00 μB/f.u.